Compound: BeFeH2O
Source: the Alexandria database
Functional: PBE with a Hubbard U
Structure: relaxed

Results
VASP energy in eV per formula unit: -19.86
Mass density in Mg/m³: 2.4

Geometry as extended XYZ:
```
5
Lattice="4.521 0.000 0.000 0.000 2.786 0.000 0.000 0.000 4.521" Properties=species:S:1:pos:R:3 pbc="T T T"
Fe 2.261 1.393 2.261
Be 0.000 1.393 0.000
O 0.000 0.000 0.000
H 0.000 0.000 2.261
H 2.261 0.000 0.000
```